HgGePb2: relaxed, PBE.

Computed properties:
DFT formation energy = 0.22 eV/atom
M_tot = 0.0 Bohr magnetons per cell
ΔE to the lowest computed polymorph = 0.1144 eV per atom

Cell lengths 3.3137, 3.3137, 12.0143 Å; angles 82.07, 82.07, 60.00 degrees
Last column: nearest neighbours and their distance in Å.
Fractional coordinates of all 4 atoms:
1 Pb 0.0833 0.0833 0.7502  1 Ge 2.96, 6 Pb 3.31
2 Pb 0.9167 0.9167 0.2498  1 Ge 2.96, 6 Pb 3.31
3 Ge 0.0000 0.0000 0.0000  2 Pb 2.96, 6 Ge 3.31
4 Hg 0.5000 0.5000 0.5000  6 Hg 3.31, 6 Pb 3.53